Material: La2TmTh
Method: DFT, PBE
State: relaxed

abc: 5.1102 5.1102 5.1597
angles: 90.00 90.00 90.00
Last column: nearest neighbours and their distance in Å.
Space group P4/mmm (No. 123)
Unique sites:
La 0.0000 0.5000 0.0000  4 La 3.61, 4 Th 3.63, 4 Tm 3.63
Tm 0.0000 0.0000 0.5000  4 Th 3.61, 8 La 3.63
Th 0.5000 0.5000 0.5000  4 Tm 3.61, 8 La 3.63

Properties
Excess energy over the best structure of this formula in the dataset (meV/atom): 29.2

Material: La12Tm6Th
Method: DFT, PBE
State: relaxed

abc: 15.9615 15.9615 8.9232
angles: 90.00 90.00 120.00
Last column: nearest neighbours and their distance in Å.
Space group R-3 (No. 148, hexagonal axes)
Unique sites:
La 0.0363 0.7571 0.3391  4 Tm 3.62-3.75, 8 La 3.62-3.73
La 0.0746 0.5102 0.6660  1 Th 3.60, 8 La 3.60-3.73, 3 Tm 3.64-3.80
Tm 0.0165 0.8821 0.6675  4 Tm 3.51-3.61, 1 Th 3.59, 7 La 3.62-3.80
Th 0.0000 0.0000 0.0000  6 Tm 3.59, 6 La 3.60

Properties
Total energy (Ry per atom): -0.359

Material: La7Tm4Th
Method: DFT, PBE
State: relaxed

abc: 6.3876 7.3483 8.9874
angles: 90.22 103.50 90.03
Last column: nearest neighbours and their distance in Å.
Space group P-1 (No. 2)
Unique sites:
La 0.0000 0.0000 0.0000  8 La 3.61-3.74, 2 Tm 3.63, 2 Th 3.67
La 0.2258 0.0006 0.6630  7 La 3.60-3.75, 5 Tm 3.64-3.75
La 0.2808 0.2553 0.3312  6 Tm 3.54-3.81, 1 Th 3.59, 5 La 3.60-3.75
La 0.4985 0.2638 0.9961  7 La 3.47-3.88, 3 Tm 3.55-3.60, 2 Th 3.63-3.64
Tm 0.2117 0.5000 0.6669  4 Tm 3.54-3.71, 7 La 3.55-3.70, 1 Th 3.56
Tm 0.2740 0.7370 0.3289  1 Th 3.52, 8 La 3.54-3.81, 3 Tm 3.57-3.71
Th 0.0000 0.5000 0.0000  4 Tm 3.52-3.56, 8 La 3.59-3.67

Properties
Total energy (Ry per atom): -0.365

Material: La5Tm5Th2
Method: DFT, PBE
State: relaxed

abc: 16.5087 5.8138 9.7616
angles: 90.00 120.35 90.00
Last column: nearest neighbours and their distance in Å.
Space group C2/m (No. 12)
Unique sites:
La 0.0000 0.0000 0.0000  8 Tm 3.61-3.96, 4 La 3.65-3.85, 2 Th 3.89
La 0.0887 0.0000 0.4265  5 Tm 3.49-3.70, 3 La 3.65-3.86, 1 Th 3.75
La 0.2325 0.5000 0.7157  5 Tm 3.32-3.69, 3 Th 3.52-3.59
Tm 0.0000 0.5000 0.5000  2 Tm 3.28, 6 La 3.32-3.49
Tm 0.0797 0.5000 0.8830  3 Tm 3.28-3.50, 3 Th 3.37-3.44, 3 La 3.61-3.63
Tm 0.1553 0.5000 0.2890  2 Tm 3.36-3.50, 6 La 3.46-3.70, 1 Th 3.64
Th 0.1859 0.0000 0.8668  4 Tm 3.37-3.64, 4 La 3.52-3.75, 2 Th 3.76

Properties
Total energy (Ry per atom): -0.370

Material: La2TmTh
Method: DFT, PBE
State: relaxed

abc: 3.6267 3.6267 10.2864
angles: 90.00 90.00 90.00
Last column: nearest neighbours and their distance in Å.
Space group P4/mmm (No. 123)
Unique sites:
La 0.0000 0.0000 0.2441  4 Th 3.59, 4 La 3.63, 4 Tm 3.68
Tm 0.5000 0.5000 0.5000  4 Tm 3.63, 8 La 3.68
Th 0.5000 0.5000 0.0000  8 La 3.59, 4 Th 3.63

Properties
Excess energy over the best structure of this formula in the dataset (meV/atom): 30.8

Material: LaTmTh6
Method: DFT, PBE
State: relaxed

abc: 5.0384 10.1279 10.1161
angles: 90.00 90.00 90.00
Last column: nearest neighbours and their distance in Å.
Space group Amm2 (No. 38)
Unique sites:
La 0.0000 0.0000 0.0000  10 Th 3.57-3.60, 2 Tm 3.60
Tm 0.5000 0.0000 0.7454  10 Th 3.52-3.63, 2 La 3.60
Th 0.0000 0.0000 0.4997  2 Tm 3.54, 10 Th 3.54-3.59
Th 0.0000 0.2488 0.2496  8 Th 3.56-3.59, 2 La 3.57-3.59, 2 Tm 3.58
Th 0.5000 0.0000 0.2532  10 Th 3.53-3.63, 2 La 3.59
Th 0.5000 0.2466 0.4997  2 Tm 3.52-3.63, 8 Th 3.53-3.63, 2 La 3.60

Properties
Total energy (Ry per atom): -0.492

Material: La5TmTh
Method: DFT, PBE
State: relaxed

abc: 5.9561 9.0498 12.2886
angles: 90.00 90.00 90.00
Last column: nearest neighbours and their distance in Å.
Space group Immm (No. 71)
Unique sites:
La 0.0000 0.0000 0.0000  2 Tm 2.98
La 0.0000 0.1805 0.5000  1 Tm 2.89
La 0.0000 0.5000 0.2490  1 Th 3.06, 1 Tm 3.08
Tm 0.0000 0.5000 0.5000  6 La 2.89-3.08
Th 0.0000 0.5000 0.0000  6 La 3.06-3.40

Properties
Total energy (Ry per atom): -0.318

Material: La12Tm7Th
Method: DFT, PBE
State: relaxed

abc: 12.4635 12.4635 15.2888
angles: 90.00 90.00 120.00
Last column: nearest neighbours and their distance in Å.
Space group R-3 (No. 148, hexagonal axes)
Unique sites:
La 0.0158 0.5771 0.2176  3 La 3.20-3.42
La 0.0643 0.4680 0.5809  4 La 3.20-3.42, 1 Tm 3.29
Tm 0.0000 0.0000 0.0000  6 La 3.29
Tm 0.0488 0.8677 0.3092  3 Tm 3.50-3.52, 1 Th 3.55, 6 La 3.71-3.78
Th 0.0000 0.0000 0.5000  6 Tm 3.55, 6 La 3.62

Properties
Excess energy over the best structure of this formula in the dataset (meV/atom): 0.0